Entry 1:
Density functional theory data (PBE) for a relaxed structure of AcDy2Ga2.

Results
Its space-group type is Cmmm.

a = 8.560 Å, b = 8.560 Å, c = 4.264 Å
α = 90.00°, β = 90.00°, γ = 152.69°
Atoms (fractional coordinates):
Ac  0.000  0.000  0.000
Dy  0.343  0.657  0.500
Dy  0.657  0.343  0.500
Ga  0.198  0.802  0.000
Ga  0.802  0.198  0.000

---

Entry 2:
Density functional theory data (PBE) for a relaxed structure of AcDyGa3.

Results
Its space-group type is Cmcm.

a = 13.269 Å, b = 13.269 Å, c = 4.296 Å
α = 90.00°, β = 90.00°, γ = 160.37°
Atoms (fractional coordinates):
Ac  0.076  0.924  0.750
Ac  0.924  0.076  0.250
Dy  0.204  0.796  0.250
Dy  0.796  0.204  0.750
Ga  0.320  0.680  0.250
Ga  0.376  0.624  0.750
Ga  0.475  0.525  0.750
Ga  0.525  0.475  0.250
Ga  0.624  0.376  0.250
Ga  0.680  0.320  0.750

---

Entry 3:
Density functional theory data (PBE) for a relaxed structure of AcDy4Ga4.

Results
Its space-group type is P4_2/n.

a = 9.479 Å, b = 9.479 Å, c = 5.890 Å
α = 90.00°, β = 90.00°, γ = 90.00°
Atoms (fractional coordinates):
Ac  0.250  0.250  0.250
Ac  0.750  0.750  0.750
Dy  0.087  0.650  0.133
Dy  0.150  0.913  0.633
Dy  0.350  0.587  0.633
Dy  0.413  0.850  0.133
Dy  0.587  0.150  0.867
Dy  0.650  0.413  0.367
Dy  0.850  0.087  0.367
Dy  0.913  0.350  0.867
Ga  0.041  0.600  0.633
Ga  0.100  0.959  0.133
Ga  0.400  0.541  0.133
Ga  0.459  0.900  0.633
Ga  0.541  0.100  0.367
Ga  0.600  0.459  0.867
Ga  0.900  0.041  0.867
Ga  0.959  0.400  0.367

---

Entry 4:
Density functional theory data (PBE) for a relaxed structure of AcDy2Ga4.

Results
Its space-group type is Immm.

a = 9.757 Å, b = 9.757 Å, c = 9.757 Å
α = 154.94°, β = 153.51°, γ = 36.79°
Atoms (fractional coordinates):
Ac  0.000  0.000  0.000
Dy  0.185  0.685  0.500
Dy  0.815  0.315  0.500
Ga  0.349  0.849  0.500
Ga  0.429  0.429  0.000
Ga  0.571  0.571  0.000
Ga  0.651  0.151  0.500

---

Entry 5:
Density functional theory data (PBE) for a relaxed structure of AcDyGa4.

Results
Its space-group type is I-4m2.

a = 8.129 Å, b = 8.129 Å, c = 8.129 Å
α = 148.97°, β = 148.97°, γ = 44.46°
Atoms (fractional coordinates):
Ac  0.000  0.000  0.000
Dy  0.750  0.250  0.500
Ga  0.170  0.670  0.500
Ga  0.330  0.830  0.500
Ga  0.413  0.413  0.000
Ga  0.587  0.587  0.000

---

Entry 6:
Density functional theory data (PBE) for a relaxed structure of Ac2DyGa2.

Results
Its space-group type is C2/m.

a = 6.771 Å, b = 6.771 Å, c = 11.670 Å
α = 117.61°, β = 117.61°, γ = 41.97°
Atoms (fractional coordinates):
Ac  0.019  0.019  0.183
Ac  0.186  0.186  0.600
Ac  0.814  0.814  0.400
Ac  0.981  0.981  0.817
Dy  0.284  0.284  0.131
Dy  0.716  0.716  0.869
Ga  0.374  0.374  0.934
Ga  0.481  0.481  0.603
Ga  0.519  0.519  0.397
Ga  0.626  0.626  0.066

---

Entry 7:
Density functional theory data (PBE) for a relaxed structure of AcDyGa.

Results
Its space-group type is I4mm.

a = 7.196 Å, b = 7.196 Å, c = 7.196 Å
α = 150.11°, β = 150.11°, γ = 42.78°
Atoms (fractional coordinates):
Ac  0.000  0.000  0.000
Dy  0.284  0.284  0.000
Ga  0.665  0.665  0.000

---

Entry 8:
Density functional theory data (PBE) for a relaxed structure of AcDy2Ga6.

Results
Its space-group type is P6/mmm.

a = 7.410 Å, b = 7.410 Å, c = 4.336 Å
α = 90.00°, β = 90.00°, γ = 120.00°
Atoms (fractional coordinates):
Ac  0.000  0.000  0.000
Dy  0.333  0.667  0.000
Dy  0.667  0.333  0.000
Ga  0.000  0.338  0.500
Ga  0.000  0.662  0.500
Ga  0.338  0.000  0.500
Ga  0.338  0.338  0.500
Ga  0.662  0.000  0.500
Ga  0.662  0.662  0.500

---

Entry 9:
Density functional theory data (PBE) for a relaxed structure of Ac2DyGa.

Results
Its space-group type is P4/mmm.

a = 3.930 Å, b = 3.930 Å, c = 8.945 Å
α = 90.00°, β = 90.00°, γ = 90.00°
Atoms (fractional coordinates):
Ac  0.000  0.000  0.211
Ac  0.000  0.000  0.789
Dy  0.500  0.500  0.500
Ga  0.500  0.500  0.000

---

Entry 10:
Density functional theory data (PBE) for a relaxed structure of AcDy2Ga6.

Results
Its space-group type is Immm.

a = 7.797 Å, b = 7.797 Å, c = 7.797 Å
α = 146.95°, β = 123.24°, γ = 67.28°
Atoms (fractional coordinates):
Ac  0.000  0.000  0.000
Dy  0.373  0.873  0.500
Dy  0.627  0.127  0.500
Ga  0.017  0.314  0.703
Ga  0.328  0.500  0.828
Ga  0.390  0.686  0.703
Ga  0.610  0.314  0.297
Ga  0.672  0.500  0.172
Ga  0.983  0.686  0.297

---

Entry 11:
Density functional theory data (PBE) for a relaxed structure of AcDyGa.

Results
Its space-group type is P4/nmm.

a = 4.819 Å, b = 4.819 Å, c = 8.026 Å
α = 90.00°, β = 90.00°, γ = 90.00°
Atoms (fractional coordinates):
Ac  0.250  0.250  0.141
Ac  0.750  0.750  0.859
Dy  0.250  0.750  0.500
Dy  0.750  0.250  0.500
Ga  0.250  0.250  0.735
Ga  0.750  0.750  0.265

---

Entry 12:
Density functional theory data (PBE) for a relaxed structure of Ac2DyGa.

Results
Its space-group type is P4/mmm.

a = 5.184 Å, b = 5.184 Å, c = 4.904 Å
α = 90.00°, β = 90.00°, γ = 90.00°
Atoms (fractional coordinates):
Ac  0.000  0.500  0.000
Ac  0.500  0.000  0.000
Dy  0.000  0.000  0.500
Ga  0.500  0.500  0.500

---

Entry 13:
Density functional theory data (PBE) for a relaxed structure of AcDyGaGe.

Results
Its space-group type is F-43m.

a = 5.304 Å, b = 5.304 Å, c = 5.304 Å
α = 60.00°, β = 60.00°, γ = 60.00°
Atoms (fractional coordinates):
Ac  0.000  0.000  0.000
Dy  0.500  0.500  0.500
Ga  0.250  0.250  0.250
Ge  0.750  0.750  0.750

---

Entry 14:
Density functional theory data (PBE) for a relaxed structure of AcDyGaHg.

Results
Its space-group type is F-43m.

a = 5.442 Å, b = 5.442 Å, c = 5.442 Å
α = 60.00°, β = 60.00°, γ = 60.00°
Atoms (fractional coordinates):
Ac  0.000  0.000  0.000
Dy  0.500  0.500  0.500
Ga  0.750  0.750  0.750
Hg  0.250  0.250  0.250

---

Entry 15:
Density functional theory data (PBE) for a relaxed structure of AcDyHoGa.

Results
Its space-group type is F-43m.

a = 5.468 Å, b = 5.468 Å, c = 5.468 Å
α = 60.00°, β = 60.00°, γ = 60.00°
Atoms (fractional coordinates):
Ac  0.000  0.000  0.000
Dy  0.750  0.750  0.750
Ho  0.250  0.250  0.250
Ga  0.500  0.500  0.500

---

Entry 16:
Density functional theory data (PBE) for a relaxed structure of AcDyInGa.

Results
Its space-group type is F-43m.

a = 5.460 Å, b = 5.460 Å, c = 5.460 Å
α = 60.00°, β = 60.00°, γ = 60.00°
Atoms (fractional coordinates):
Ac  0.000  0.000  0.000
Dy  0.500  0.500  0.500
In  0.750  0.750  0.750
Ga  0.250  0.250  0.250

---

Entry 17:
Density functional theory data (PBE) for a relaxed structure of AcDyGa2Ir2.

Results
Its space-group type is P-3m1.

a = 4.436 Å, b = 4.436 Å, c = 7.696 Å
α = 90.00°, β = 90.00°, γ = 120.00°
Atoms (fractional coordinates):
Ac  0.000  0.000  0.000
Dy  0.000  0.000  0.500
Ga  0.333  0.667  0.290
Ga  0.667  0.333  0.710
Ir  0.333  0.667  0.715
Ir  0.667  0.333  0.285

---

Entry 18:
Density functional theory data (PBE) for a relaxed structure of LiAcDyGa.

Results
Its space-group type is F-43m.

a = 5.362 Å, b = 5.362 Å, c = 5.362 Å
α = 60.00°, β = 60.00°, γ = 60.00°
Atoms (fractional coordinates):
Li  0.000  0.000  0.000
Ac  0.250  0.250  0.250
Dy  0.750  0.750  0.750
Ga  0.500  0.500  0.500

---

Entry 19:
Density functional theory data (PBE) for a relaxed structure of AcDyLuGa.

Results
Its space-group type is F-43m.

a = 5.446 Å, b = 5.446 Å, c = 5.446 Å
α = 60.00°, β = 60.00°, γ = 60.00°
Atoms (fractional coordinates):
Ac  0.000  0.000  0.000
Dy  0.250  0.250  0.250
Lu  0.750  0.750  0.750
Ga  0.500  0.500  0.500

---

Entry 20:
Density functional theory data (PBE) for a relaxed structure of AcDyMgGa.

Results
Its space-group type is F-43m.

a = 5.442 Å, b = 5.442 Å, c = 5.442 Å
α = 60.00°, β = 60.00°, γ = 60.00°
Atoms (fractional coordinates):
Ac  0.000  0.000  0.000
Dy  0.500  0.500  0.500
Mg  0.250  0.250  0.250
Ga  0.750  0.750  0.750

---

Number 1: size of the total moment 0.00 μB/atom, ΔE_f -448 meV per atom, DOS at the Fermi energy 4.7 states/eV/cell. Number 2: size of the total moment 0.00 μB/atom, ΔE_f -619 meV per atom, DOS at the Fermi energy 6.4 states/eV/cell. Number 3: size of the total moment 0.00 μB/atom, ΔE_f -343 meV per atom, DOS at the Fermi energy 15.1 states/eV/cell. Number 4: size of the total moment 0.00 μB/atom, ΔE_f -618 meV per atom, DOS at the Fermi energy 4.0 states/eV/cell. Number 5: size of the total moment 0.00 μB/atom, ΔE_f -597 meV per atom, DOS at the Fermi energy 3.7 states/eV/cell. Number 6: size of the total moment 0.00 μB/atom, ΔE_f -424 meV per atom, DOS at the Fermi energy 10.2 states/eV/cell. Number 7: size of the total moment 0.00 μB/atom, ΔE_f -290 meV per atom, DOS at the Fermi energy 2.2 states/eV/cell. Number 8: size of the total moment 0.00 μB/atom, ΔE_f -601 meV per atom, DOS at the Fermi energy 5.7 states/eV/cell. Number 9: size of the total moment 0.00 μB/atom, ΔE_f -160 meV per atom, DOS at the Fermi energy 5.2 states/eV/cell. Number 10: size of the total moment 0.00 μB/atom, ΔE_f -495 meV per atom, DOS at the Fermi energy 3.6 states/eV/cell. Number 11: size of the total moment 0.14 μB/atom, ΔE_f -367 meV per atom, DOS at the Fermi energy 7.5 states/eV/cell. Number 12: size of the total moment 0.00 μB/atom, ΔE_f -91 meV per atom, DOS at the Fermi energy 6.9 states/eV/cell. Number 13: size of the total moment 0.00 μB/atom, ΔE_f -498 meV per atom, DOS at the Fermi energy 2.3 states/eV/cell. Number 14: size of the total moment 0.00 μB/atom, ΔE_f -430 meV per atom, DOS at the Fermi energy 5.2 states/eV/cell. Number 15: size of the total moment 0.01 μB/atom, ΔE_f 63 meV per atom, DOS at the Fermi energy 7.8 states/eV/cell. Number 16: size of the total moment 0.00 μB/atom, ΔE_f -417 meV per atom, DOS at the Fermi energy 1.7 states/eV/cell. Number 17: size of the total moment 0.00 μB/atom, ΔE_f -764 meV per atom, DOS at the Fermi energy 4.1 states/eV/cell. Number 18: size of the total moment 0.00 μB/atom, ΔE_f -223 meV per atom, DOS at the Fermi energy 3.3 states/eV/cell. Number 19: size of the total moment 0.11 μB/atom, ΔE_f 87 meV per atom, DOS at the Fermi energy 7.9 states/eV/cell. Number 20: size of the total moment 0.00 μB/atom, ΔE_f -251 meV per atom, DOS at the Fermi energy 3.6 states/eV/cell.